[1]
Compound: InSnBi2
Source: Alexandria
Functional: PBE-GGA
Structure: relaxed

extended XYZ file:
```
4
Lattice="2.183 1.261 7.817 -2.183 1.261 7.817 0.000 -2.521 7.817" Properties=species:S:1:pos:R:3 pbc="T T T"
In 0.000 0.000 0.000
Sn 0.000 0.000 3.925
Bi 0.000 0.000 13.674
Bi 0.000 0.000 17.625
```

Output
**DOS(E_F)**: 1.957 states/eV/cell
**SG**: R3m
**VASP energy**: -3.54 eV/atom
**Energy of formation from the pure elements**: 33 kJ/mol of formula units
**Calculated volume**: 129 Å³ per cell

=====

[2]
Compound: In7Sn3Bi2
Source: Alexandria
Functional: PBE-GGA
Structure: relaxed

extended XYZ file:
```
12
Lattice="5.846 0.000 0.000 0.000 3.447 0.000 -1.096 0.000 17.097" Properties=species:S:1:pos:R:3 pbc="T T T"
In 0.000 0.000 0.000
In 0.541 1.724 2.798
In 0.920 1.724 8.187
In 1.280 0.000 14.348
In 3.470 0.000 2.749
In 3.830 1.724 8.910
In 4.209 1.724 14.300
Sn 1.472 0.000 5.518
Sn 2.923 1.724 0.000
Sn 3.278 0.000 11.579
Bi 0.382 1.724 11.461
Bi 4.368 1.724 5.637
```

Output
**DOS(E_F)**: 5.443 states/eV/cell
**SG**: P2/m
**VASP energy**: -3.20 eV/atom
**Energy of formation from the pure elements**: 52 kJ/mol of formula units
**Calculated volume**: 345 Å³ per cell

=====

[3]
Compound: In5Sn4Bi
Source: Alexandria
Functional: PBE-GGA
Structure: relaxed

extended XYZ file:
```
10
Lattice="3.387 0.000 0.000 0.000 3.387 0.000 0.000 0.000 24.510" Properties=species:S:1:pos:R:3 pbc="T T T"
In 0.000 0.000 0.000
In 0.000 0.000 4.820
In 0.000 0.000 9.660
In 0.000 0.000 14.850
In 0.000 0.000 19.690
Sn 1.694 1.694 2.403
Sn 1.694 1.694 7.219
Sn 1.694 1.694 17.292
Sn 1.694 1.694 22.107
Bi 1.694 1.694 12.255
```

Output
**DOS(E_F)**: 5.447 states/eV/cell
**SG**: P4/mmm
**VASP energy**: -3.32 eV/atom
**Energy of formation from the pure elements**: 34 kJ/mol of formula units
**Calculated volume**: 281 Å³ per cell